VNiP2S | GGA-PBE | relaxed

```
data_VNiP2S
_chemical_formula_sum 'V1 Ni1 P2 S1'
_symmetry_space_group_name_H-M 'P 1'
_symmetry_Int_Tables_number 1
_cell_length_a 4.521
_cell_length_b 4.521
_cell_length_c 4.409
_cell_angle_alpha 90.00
_cell_angle_beta 90.00
_cell_angle_gamma 90.00
loop_
_symmetry_equiv_pos_as_xyz
'x,y,z'
loop_
_atom_site_label
_atom_site_type_symbol
_atom_site_fract_x
_atom_site_fract_y
_atom_site_fract_z
V1 V 0.000 0.000 0.000
S1 S 0.000 0.000 0.500
P1 P 0.500 0.000 0.000
P2 P 0.000 0.500 0.000
Ni1 Ni 0.500 0.500 0.500
```

ΔE_f (raw) = 2.865 eV per formula unit
Relative energy among the computed polymorphs = 0.02 eV/f.u.
E_tot = -5.40 eV/atom
M_tot = 0.000 μB per atom

=====

NiPWS2 | GGA-PBE | relaxed

```
data_NiPWS2
_chemical_formula_sum 'Ni1 P1 W1 S2'
_symmetry_space_group_name_H-M 'P 1'
_symmetry_Int_Tables_number 1
_cell_length_a 4.321
_cell_length_b 4.321
_cell_length_c 4.267
_cell_angle_alpha 90.00
_cell_angle_beta 90.00
_cell_angle_gamma 90.00
loop_
_symmetry_equiv_pos_as_xyz
'x,y,z'
loop_
_atom_site_label
_atom_site_type_symbol
_atom_site_fract_x
_atom_site_fract_y
_atom_site_fract_z
S1 S 0.500 0.000 0.000
W1 W 0.500 0.500 0.500
P1 P 0.000 0.000 0.500
S2 S 0.000 0.500 0.000
Ni1 Ni 0.000 0.000 0.000
```

ΔE_f (raw) = 4.997 eV per formula unit
Relative energy among the computed polymorphs = 1.41 eV/f.u.
E_tot = -5.48 eV/atom
M_tot = 0.000 μB per atom

=====

NiPWS2 | GGA-PBE | relaxed

```
data_NiPWS2
_chemical_formula_sum 'Ni1 P1 W1 S2'
_symmetry_space_group_name_H-M 'P 1'
_symmetry_Int_Tables_number 1
_cell_length_a 4.607
_cell_length_b 4.607
_cell_length_c 4.815
_cell_angle_alpha 90.00
_cell_angle_beta 90.00
_cell_angle_gamma 90.00
loop_
_symmetry_equiv_pos_as_xyz
'x,y,z'
loop_
_atom_site_label
_atom_site_type_symbol
_atom_site_fract_x
_atom_site_fract_y
_atom_site_fract_z
Ni1 Ni 0.500 0.500 0.500
S1 S 0.000 0.500 0.000
P1 P 0.000 0.000 0.500
W1 W 0.000 0.000 0.000
S2 S 0.500 0.000 0.000
```

ΔE_f (raw) = 3.587 eV per formula unit
Relative energy among the computed polymorphs = 0.00 eV/f.u.
E_tot = -5.76 eV/atom
M_tot = 0.197 μB per atom

=====

YNiPS2 | GGA-PBE | relaxed

```
data_YNiPS2
_chemical_formula_sum 'Y1 Ni1 P1 S2'
_symmetry_space_group_name_H-M 'P 1'
_symmetry_Int_Tables_number 1
_cell_length_a 5.174
_cell_length_b 5.174
_cell_length_c 5.316
_cell_angle_alpha 90.00
_cell_angle_beta 90.00
_cell_angle_gamma 90.00
loop_
_symmetry_equiv_pos_as_xyz
'x,y,z'
loop_
_atom_site_label
_atom_site_type_symbol
_atom_site_fract_x
_atom_site_fract_y
_atom_site_fract_z
S1 S 0.500 0.000 0.000
Y1 Y 0.000 0.000 0.000
S2 S 0.000 0.500 0.000
P1 P 0.000 0.000 0.500
Ni1 Ni 0.500 0.500 0.500
```

ΔE_f (raw) = 2.842 eV per formula unit
Relative energy among the computed polymorphs = 5.55 eV/f.u.
E_tot = -4.61 eV/atom
M_tot = 0.440 μB per atom

=====

YNiPS2 | GGA-PBE | relaxed

```
data_YNiPS2
_chemical_formula_sum 'Y1 Ni1 P1 S2'
_symmetry_space_group_name_H-M 'P 1'
_symmetry_Int_Tables_number 1
_cell_length_a 4.623
_cell_length_b 4.623
_cell_length_c 4.268
_cell_angle_alpha 90.00
_cell_angle_beta 90.00
_cell_angle_gamma 90.00
loop_
_symmetry_equiv_pos_as_xyz
'x,y,z'
loop_
_atom_site_label
_atom_site_type_symbol
_atom_site_fract_x
_atom_site_fract_y
_atom_site_fract_z
P1 P 0.000 0.000 0.500
S1 S 0.000 0.500 0.000
Ni1 Ni 0.000 0.000 0.000
S2 S 0.500 0.000 0.000
Y1 Y 0.500 0.500 0.500
```

ΔE_f (raw) = -2.708 eV per formula unit
Relative energy among the computed polymorphs = 0.00 eV/f.u.
E_tot = -5.72 eV/atom
M_tot = 0.000 μB per atom

=====

ZnNiPS2 | GGA-PBE | relaxed

```
data_ZnNiPS2
_chemical_formula_sum 'Zn1 Ni1 P1 S2'
_symmetry_space_group_name_H-M 'P 1'
_symmetry_Int_Tables_number 1
_cell_length_a 4.711
_cell_length_b 4.711
_cell_length_c 4.109
_cell_angle_alpha 90.00
_cell_angle_beta 90.00
_cell_angle_gamma 90.00
loop_
_symmetry_equiv_pos_as_xyz
'x,y,z'
loop_
_atom_site_label
_atom_site_type_symbol
_atom_site_fract_x
_atom_site_fract_y
_atom_site_fract_z
S1 S 0.000 0.500 0.000
P1 P 0.000 0.000 0.500
Ni1 Ni 0.000 0.000 0.000
Zn1 Zn 0.500 0.500 0.500
S2 S 0.500 0.000 0.000
```

ΔE_f (raw) = 2.387 eV per formula unit
Relative energy among the computed polymorphs = 0.00 eV/f.u.
E_tot = -3.67 eV/atom
M_tot = 0.000 μB per atom

=====

ZnNiPS2 | GGA-PBE | relaxed

```
data_ZnNiPS2
_chemical_formula_sum 'Zn1 Ni1 P1 S2'
_symmetry_space_group_name_H-M 'P 1'
_symmetry_Int_Tables_number 1
_cell_length_a 4.671
_cell_length_b 4.671
_cell_length_c 4.502
_cell_angle_alpha 90.00
_cell_angle_beta 90.00
_cell_angle_gamma 90.00
loop_
_symmetry_equiv_pos_as_xyz
'x,y,z'
loop_
_atom_site_label
_atom_site_type_symbol
_atom_site_fract_x
_atom_site_fract_y
_atom_site_fract_z
Ni1 Ni 0.500 0.500 0.500
S1 S 0.500 0.000 0.000
S2 S 0.000 0.500 0.000
Zn1 Zn 0.000 0.000 0.000
P1 P 0.000 0.000 0.500
```

ΔE_f (raw) = 5.378 eV per formula unit
Relative energy among the computed polymorphs = 2.99 eV/f.u.
E_tot = -3.07 eV/atom
M_tot = 0.244 μB per atom

=====

ZnNiP2S | GGA-PBE | relaxed

```
data_ZnNiP2S
_chemical_formula_sum 'Zn1 Ni1 P2 S1'
_symmetry_space_group_name_H-M 'P 1'
_symmetry_Int_Tables_number 1
_cell_length_a 4.281
_cell_length_b 4.281
_cell_length_c 4.896
_cell_angle_alpha 90.00
_cell_angle_beta 90.00
_cell_angle_gamma 90.00
loop_
_symmetry_equiv_pos_as_xyz
'x,y,z'
loop_
_atom_site_label
_atom_site_type_symbol
_atom_site_fract_x
_atom_site_fract_y
_atom_site_fract_z
S1 S 0.000 0.000 0.500
P1 P 0.500 0.000 0.000
P2 P 0.000 0.500 0.000
Ni1 Ni 0.000 0.000 0.000
Zn1 Zn 0.500 0.500 0.500
```

ΔE_f (raw) = 2.824 eV per formula unit
Relative energy among the computed polymorphs = 0.00 eV/f.u.
E_tot = -3.84 eV/atom
M_tot = 0.140 μB per atom